Record 1
First-principles (PBE) data for a geometry-optimized ZnRu2F11 structure, as listed in Alexandria.

Its magnetic moment is 0.357 μB per atom. As for the energy relative to the elements, uncorrected: -1733 meV/atom.

extended XYZ file:
```
28
Lattice="-4.1768 4.8233 5.1718 4.1768 -4.8233 5.1718 4.1768 4.8233 -5.1718" Properties=species:S:1:pos:R:3 pbc="T T T"
Zn 0.0000 0.0000 2.5859
Zn 0.0000 0.0000 7.7577
Ru 5.7405 1.3178 0.0000
Ru 1.5636 3.5054 0.0000
Ru 2.6132 1.3178 5.1718
Ru -1.5636 3.5054 5.1718
F 4.1768 0.0000 0.0000
F 4.8986 2.1864 -1.4291
F 1.4997 -0.3197 1.3239
F 4.8986 -2.1864 3.7427
F 6.8540 0.3197 1.3239
F 2.8072 2.1426 0.0000
F 2.8072 -2.1426 5.1718
F 2.6772 4.5035 -1.3239
F 4.8986 2.1864 1.4291
F 1.4997 0.3197 3.8479
F 0.7217 2.6369 1.4291
F 0.0000 4.8233 0.0000
F 3.4551 2.1864 3.7427
F 2.6772 4.5035 1.3239
F -0.7217 2.6369 3.7427
F 1.4997 0.3197 6.4957
F 1.3696 6.9658 0.0000
F 1.3696 2.6807 5.1718
F -2.6772 4.5035 3.8479
F -0.7217 7.0096 1.4291
F 2.6772 5.1430 3.8479
F -0.7217 2.6369 6.6009
```


Record 2
First-principles (PBE) data for a geometry-optimized Pr2Er2In5 structure, as listed in Alexandria.

Its magnetic moment is 0.000 μB per atom. Its formation energy is -0.28 eV/atom.

extended XYZ file:
```
18
Lattice="-7.1758 3.6297 5.0355 7.1758 -3.6297 5.0355 7.1758 3.6297 -5.0355" Properties=species:S:1:pos:R:3 pbc="T T T"
Pr 1.8184 0.1945 0.0000
Pr 5.3574 0.1945 0.0000
Pr 1.8184 3.4353 5.0355
Pr 5.3574 3.4353 5.0355
Er 0.0000 0.0000 4.3754
Er 7.1758 0.0000 4.3754
Er 3.5879 -0.0381 5.7164
Er 3.5879 3.6678 0.6810
In 9.3607 2.1324 -2.2312
In 4.9908 -1.4973 2.8043
In 3.5879 2.2616 -2.1601
In 3.5879 1.3681 2.8754
In -2.1849 1.4973 2.8043
In 9.3607 1.4973 2.8043
In 0.5970 2.2589 2.1334
In 6.5788 2.2589 2.1334
In -0.5970 5.0005 2.1334
In 0.5970 1.3708 7.1689
```


Record 3
First-principles (PBE) data for a geometry-optimized CdTe2O structure, as listed in Alexandria.

Its magnetic moment is 0.000 μB per atom. As for the energy relative to the elements, uncorrected: 348 meV/atom.

extended XYZ file:
```
4
Lattice="0.0000 3.4652 3.4652 3.4652 0.0000 3.4652 3.4652 3.4652 0.0000" Properties=species:S:1:pos:R:3 pbc="T T T"
Cd 0.0000 0.0000 0.0000
Te 1.7326 1.7326 1.7326
Te 5.1978 5.1978 5.1978
O 3.4652 3.4652 3.4652
```